Computed, not measured: a geometry-optimized KMoCO5 structure at the PBE with a Hubbard U level of DFT. Values from VASP.

Cell and atoms, written as Quantum ESPRESSO input:
```
&SYSTEM
  ibrav = 0, nat = 16, ntyp = 4
/
ATOMIC_SPECIES
O 16.00 O.upf
Mo 95.94 Mo.upf
K 39.10 K.upf
C 12.01 C.upf
CELL_PARAMETERS angstrom
-3.396 -1.719 -3.898
4.773 0.731 -2.523
0.948 -5.696 4.517
ATOMIC_POSITIONS angstrom
O -1.392 -2.051 -3.507
O 3.716 -4.632 1.602
O -0.225 -1.201 -1.685
O 3.727 -3.506 -0.467
O 1.803 -3.583 0.835
O -1.402 -3.177 -1.438
O 0.522 -3.100 -2.739
O 2.550 -5.482 -0.219
O -2.185 -5.840 -0.426
O 4.510 -0.843 -1.478
Mo 0.000 0.000 0.000
Mo 0.474 -2.848 2.259
K 0.095 -5.156 -0.042
K 2.229 -1.527 -1.862
C 2.978 -4.292 0.443
C -0.653 -2.391 -2.347
```

Output
- DFT total energy: -6.61 eV per atom
- SG: C2/c, No. 15
- M_tot: 0.12 μB per atom
- V: 187.45 Å³ per cell
- DOS at the Fermi energy: 0.0 states/eV/f.u.